[1]
Entry from the Alexandria database: a geometry-optimized Cd7Ag5Sb structure (GGA-PBE).

The space group is Cm (No. 8) and the conventional cell measures 11.3201, 9.8404 and 5.7140 Å, with angles of 90.00, 119.20 and 90.00 degrees. The asymmetric unit holds Cd at (0.0000, 0.0000, 0.0000), Cd at (0.0849, 0.5000, 0.0795), Cd at (0.1973, 0.5000, 0.6890), Cd at (0.3538, 0.1945, 0.8478), Cd at (0.3616, 0.3401, 0.3587), Ag at (0.1065, 0.2498, 0.8527), Ag at (0.1074, 0.2491, 0.3504), Ag at (0.1228, 0.0000, 0.6197) and Sb at (0.3118, 0.0000, 0.2891).

The raw formation energy is -0.006 eV/atom. The volume comes out at 555.6 Å³/cell. The total moment comes out at 0.00 μB per atom.

***

[2]
Entry from the Alexandria database: a geometry-optimized Hf2BiOsW structure (GGA-PBE).

The space group is P4/mmm (No. 123) and the conventional cell measures 4.9857, 4.9857 and 5.0439 Å, with angles of 90.00, 90.00 and 90.00 degrees. The asymmetric unit holds Hf at (0.0000, 0.5000, 0.0000), Bi at (0.0000, 0.0000, 0.5000), Os at (0.0000, 0.0000, 0.0000) and W at (0.5000, 0.5000, 0.5000).

The formation energy is 1.3151 eV per atom. The volume comes out at 125.4 Å³/cell. The total moment comes out at 0.39 μB per atom.

***

[3]
Entry from the Alexandria database: a geometry-optimized MgSbTe2S structure (GGA-PBE).

The space group is P4/mmm (No. 123) and the conventional cell measures 5.2521, 5.2521 and 5.2909 Å, with angles of 90.00, 90.00 and 90.00 degrees. The asymmetric unit holds Mg at (0.0000, 0.0000, 0.0000), Sb at (0.5000, 0.5000, 0.0000), Te at (0.0000, 0.5000, 0.5000) and S at (0.5000, 0.5000, 0.5000).

The raw formation energy is 0.327 eV/atom. The volume comes out at 145.9 Å³/cell. The total moment comes out at 0.00 μB per atom.